1.
An optimized crystal structure of AlPSe2. Source: Alexandria, functional GGA-PBE.

Properties
The calculation puts the excess energy over the best structure of this formula in the dataset at 147 meV per atom. The theoretical density is 3.9 g cm⁻³. The energy relative to the elements, uncorrected is -0.078 eV per atom.

Cell lengths 15.6243, 3.3636, 3.5703 Å; angles 90.00, 101.76, 90.00 degrees
Last column: nearest neighbours and their distance in Å.
Space group Cm (No. 8)
One atom of each set of equivalent atoms:
Al  0.0000  0.0000  0.0000  4 Se 2.61-2.62, 2 P 2.74
P  0.3585  0.0000  0.8933  2 Se 2.42
Se  0.0592  0.5000  0.5551  4 Al 2.61-2.62
Se  0.3074  0.5000  0.2816  2 P 2.42

2.
An optimized crystal structure of AlPSe2. Source: Alexandria, functional GGA-PBE.

Properties
The calculation puts the excess energy over the best structure of this formula in the dataset at 0 meV per atom. The theoretical density is 3.8 g cm⁻³. The energy relative to the elements, uncorrected is -0.224 eV per atom.

Cell lengths 3.6482, 3.6482, 24.5273 Å; angles 90.00, 90.00, 120.00 degrees
Last column: nearest neighbours and their distance in Å.
Space group R3m (No. 160, hexagonal axes)
One atom of each set of equivalent atoms:
Al  0.0000  0.0000  0.0000  3 Se 2.46
P  0.0000  0.0000  0.2605  3 Se 2.50, 3 Al 2.76
Se  0.0000  0.0000  0.5392  3 P 2.50
Se  0.0000  0.0000  0.7182  3 Al 2.46

3.
An optimized crystal structure of AlPSe2. Source: Alexandria, functional GGA-PBE.

Properties
The calculation puts the excess energy over the best structure of this formula in the dataset at 573 meV per atom. The theoretical density is 5.0 g cm⁻³. The energy relative to the elements, uncorrected is 0.349 eV per atom.

Cell lengths 6.5971, 6.5971, 6.5971 Å; angles 90.00, 90.00, 90.00 degrees
Last column: nearest neighbours and their distance in Å.
Space group Fm-3m (No. 225)
One atom of each set of equivalent atoms:
Al  0.0000  0.0000  0.0000  8 Se 2.86
P  0.0000  0.0000  0.5000  8 Se 2.86
Se  0.2500  0.2500  0.2500  4 Al 2.86, 4 P 2.86

4.
An optimized crystal structure of AlPSe2. Source: Alexandria, functional GGA-PBE.

Properties
The calculation puts the excess energy over the best structure of this formula in the dataset at 557 meV per atom. The theoretical density is 5.0 g cm⁻³. The energy relative to the elements, uncorrected is 0.332 eV per atom.

Cell lengths 3.2969, 3.2969, 6.6286 Å; angles 90.00, 90.00, 90.00 degrees
Last column: nearest neighbours and their distance in Å.
Space group P4/mmm (No. 123)
One atom of each set of equivalent atoms:
Al  0.0000  0.0000  0.0000  8 Se 2.84
P  0.0000  0.0000  0.5000  8 Se 2.88
Se  0.5000  0.5000  0.2442  4 Al 2.84, 4 P 2.88

5.
An optimized crystal structure of AlPSe3. Source: Alexandria, functional GGA-PBE.

Properties
The calculation puts the excess energy over the best structure of this formula in the dataset at 766 meV per atom. The theoretical density is 4.3 g cm⁻³. The energy relative to the elements, uncorrected is 0.381 eV per atom.

Cell lengths 4.8502, 4.8502, 4.8502 Å; angles 90.00, 90.00, 90.00 degrees
Last column: nearest neighbours and their distance in Å.
Space group Pm-3m (No. 221)
One atom of each set of equivalent atoms:
Al  0.0000  0.0000  0.0000  12 Se 3.43
P  0.5000  0.5000  0.5000  6 Se 2.43
Se  0.0000  0.5000  0.5000  2 P 2.43

6.
An optimized crystal structure of AlPSe2. Source: Alexandria, functional GGA-PBE.

Properties
The calculation puts the excess energy over the best structure of this formula in the dataset at 425 meV per atom. The theoretical density is 4.4 g cm⁻³. The energy relative to the elements, uncorrected is 0.201 eV per atom.

Cell lengths 3.1278, 3.1278, 8.3630 Å; angles 90.00, 90.00, 90.00 degrees
Last column: nearest neighbours and their distance in Å.
Space group P4mm (No. 99)
One atom of each set of equivalent atoms:
Al  0.0000  0.0000  0.0000  4 P 2.58, 4 Se 2.72
P  0.5000  0.5000  0.1577  4 Al 2.58
Se  0.0000  0.0000  0.3820  4 P 2.90, 4 Se 3.13, 1 Al 3.19
Se  0.5000  0.5000  0.8115  4 Al 2.72, 1 P 2.90

7.
An optimized crystal structure of AlPSe2. Source: Alexandria, functional GGA-PBE.

Properties
The calculation puts the excess energy over the best structure of this formula in the dataset at 279 meV per atom. The theoretical density is 4.2 g cm⁻³. The energy relative to the elements, uncorrected is 0.055 eV per atom.

Cell lengths 6.8038, 6.8038, 7.4316 Å; angles 90.00, 90.00, 90.00 degrees
Last column: nearest neighbours and their distance in Å.
Space group I-42d (No. 122)
One atom of each set of equivalent atoms:
Al  0.0000  0.0000  0.0000  4 Se 2.51
P  0.0000  0.0000  0.5000  4 Se 2.65
Se  0.2335  0.2500  0.1250  2 Al 2.51, 2 P 2.65

8.
An optimized crystal structure of AlPSe2. Source: Alexandria, functional GGA-PBE.

Properties
The calculation puts the excess energy over the best structure of this formula in the dataset at 116 meV per atom. The theoretical density is 4.0 g cm⁻³. The energy relative to the elements, uncorrected is -0.108 eV per atom.

Cell lengths 3.6224, 3.6224, 23.7630 Å; angles 90.00, 90.00, 120.00 degrees
Last column: nearest neighbours and their distance in Å.
Space group R-3m (No. 166, hexagonal axes)
One atom of each set of equivalent atoms:
Al  0.0000  0.0000  0.0000  6 Se 2.55
P  0.0000  0.0000  0.5000  2 Se 2.51
Se  0.0000  0.0000  0.3945  1 P 2.51, 3 Al 2.55